1.
# SrCdP, optimized geometry, DFT PBE
data_SrCdP
_symmetry_space_group_name_H-M 'F -4 3 m'
_symmetry_Int_Tables_number 216
_symmetry_space_group_name_Hall 'F -4 2 3'
_cell_length_a 7.0383
_cell_length_b 7.0383
_cell_length_c 7.0383
_cell_angle_alpha 90.00
_cell_angle_beta 90.00
_cell_angle_gamma 90.00
loop_
_atom_site_label
_atom_site_type_symbol
_atom_site_fract_x
_atom_site_fract_y
_atom_site_fract_z
Sr1 Sr 0.0000 0.0000 0.0000
Cd1 Cd 0.0000 0.0000 0.5000
P1 P 0.2500 0.2500 0.7500
# **Uncorrected energy**: -3.1050 eV/atom
# **Magnetization**: 0.0 μB per formula unit
# **Energy above the lowest structure with this stoichiometry**: 0.140 eV per atom



2.
# BaCuSb2Te, optimized geometry, DFT PBE
data_BaCuSb2Te
_symmetry_space_group_name_H-M 'P 4/m m m'
_symmetry_Int_Tables_number 123
_symmetry_space_group_name_Hall '-P 4 2'
_cell_length_a 6.3741
_cell_length_b 6.3741
_cell_length_c 6.3603
_cell_angle_alpha 90.00
_cell_angle_beta 90.00
_cell_angle_gamma 90.00
loop_
_atom_site_label
_atom_site_type_symbol
_atom_site_fract_x
_atom_site_fract_y
_atom_site_fract_z
Ba1 Ba 0.0000 0.0000 0.0000
Cu1 Cu 0.5000 0.5000 0.5000
Sb1 Sb 0.0000 0.5000 0.0000
Te1 Te 0.0000 0.0000 0.5000
# **Uncorrected energy**: -2.3435 eV/atom
# **Formation energy from raw total energies**: 109.8 kJ/mol of atoms
# **Magnetization**: 0.5 μB per formula unit
# **Energy above the lowest structure with this stoichiometry**: 1.457 eV per atom



3.
# BaSr2Cd2, optimized geometry, DFT PBE
data_BaSr2Cd2
_symmetry_space_group_name_H-M 'P 4/m b m'
_symmetry_Int_Tables_number 127
_symmetry_space_group_name_Hall '-P 4 2ab'
_cell_length_a 9.8233
_cell_length_b 9.8233
_cell_length_c 3.9005
_cell_angle_alpha 90.00
_cell_angle_beta 90.00
_cell_angle_gamma 90.00
loop_
_atom_site_label
_atom_site_type_symbol
_atom_site_fract_x
_atom_site_fract_y
_atom_site_fract_z
Ba1 Ba 0.0000 0.0000 0.0000
Sr1 Sr 0.1328 0.3672 0.0000
Cd1 Cd 0.1634 0.6634 0.5000
# **Uncorrected energy**: -1.6358 eV/atom
# **Magnetization**: 0.0 μB per formula unit
# **Energy above the lowest structure with this stoichiometry**: 0.039 eV per atom